RbLiNiF4 GGA+U optimized geometry; D(E_F) = 0.00 states/eV/cell; magnetization = 2.07 μB per formula unit; space group = P2_1/m, No. 11; energy = -4.31 eV per atom
1.0
-2.4760 2.3795 -4.1232
4.4255 -0.9687 -3.2166
-0.6311 -8.0242 1.5483
Rb Ni F Li
2 2 8 2
direct
0.6339 0.7500 0.9172 Rb
0.3661 0.2500 0.0828 Rb
0.7776 0.7500 0.4397 Ni
0.2224 0.2500 0.5603 Ni
0.0798 0.0144 0.6805 F
0.6366 0.2500 0.8117 F
0.5643 0.7500 0.5714 F
0.9202 0.9856 0.3195 F
0.3634 0.7500 0.1883 F
0.9202 0.5144 0.3195 F
0.4357 0.2500 0.4286 F
0.0798 0.4856 0.6805 F
0.2020 0.7500 0.3425 Li
0.7980 0.2500 0.6575 Li